No. 1
# KNbAu2

A geometry-optimized KNbAu2 structure (GGA-PBE, Alexandria).

The structure in extended XYZ format:
```
4
Lattice="0.000 3.531 3.531 3.531 0.000 3.531 3.531 3.531 0.000" Properties=species:S:1:pos:R:3 pbc="T T T"
K 0.000 0.000 0.000
Nb 3.531 3.531 3.531
Au 1.765 1.765 1.765
Au 5.296 5.296 5.296
```

- excess energy over the best structure of this formula in the dataset (eV per formula unit) = 0.000
- formation enthalpy at 0 K (meV per atom) = 545



No. 2
# KNbAu2

A geometry-optimized KNbAu2 structure (GGA-PBE, Alexandria).

The structure in extended XYZ format:
```
8
Lattice="-3.981 3.981 3.559 3.981 -3.981 3.559 3.981 3.981 -3.559" Properties=species:S:1:pos:R:3 pbc="T T T"
K 0.000 0.000 0.000
K 0.000 3.981 1.780
Nb 3.981 0.000 1.780
Nb 0.000 0.000 3.559
Au 1.991 2.499 -0.890
Au 5.463 1.991 0.890
Au 1.991 1.482 2.669
Au -1.482 1.991 4.449
```

- excess energy over the best structure of this formula in the dataset (eV per formula unit) = 0.121
- formation enthalpy at 0 K (meV per atom) = 576



No. 3
# K3NbAu

A geometry-optimized K3NbAu structure (GGA-PBE, Alexandria).

The structure in extended XYZ format:
```
5
Lattice="6.241 0.000 0.000 0.000 6.241 0.000 0.000 0.000 6.241" Properties=species:S:1:pos:R:3 pbc="T T T"
K 0.000 0.000 3.121
K 0.000 3.121 0.000
K 3.121 0.000 0.000
Nb 3.121 3.121 3.121
Au 0.000 0.000 0.000
```

- excess energy over the best structure of this formula in the dataset (eV per formula unit) = 0.000
- formation enthalpy at 0 K (meV per atom) = 896



No. 4
# KNbOsAu2

A geometry-optimized KNbOsAu2 structure (GGA-PBE, Alexandria).

The structure in extended XYZ format:
```
5
Lattice="4.966 0.000 0.000 0.000 4.966 0.000 0.000 0.000 4.685" Properties=species:S:1:pos:R:3 pbc="T T T"
K 0.000 0.000 0.000
Nb 2.483 2.483 2.342
Os 0.000 0.000 2.342
Au 0.000 2.483 0.000
Au 2.483 0.000 0.000
```

- formation enthalpy at 0 K (meV per atom) = 2603